A.
Computed, not measured: crystalline La2Tm2O5 at its relaxed geometry at the PBE-GGA level of DFT.

Structure (POSCAR):
```
La2Tm2O5
1.0
-7.4926 -0.0692 -2.0718
-1.0958 -1.0677 3.9986
-0.3201 4.1459 1.0192
Tm O La
2 5 2
Direct
0.7677 0.5000 0.5000
0.2323 0.5000 0.5000
0.2371 0.0000 0.5000
0.5000 0.5000 0.5000
0.7629 0.5000 0.0000
0.2371 0.5000 0.0000
0.7629 0.0000 0.5000
0.5000 0.0000 0.0000
0.0000 0.0000 0.0000
```

Calculated values
As for the symmetry: P4/mmm.


B.
Computed, not measured: crystalline La2Tm2O5 at its relaxed geometry at the PBE-GGA level of DFT.

Structure (POSCAR):
```
La2Tm2O5
1.0
-3.6580 -3.5603 -5.9281
3.6478 0.2876 -2.4236
1.3210 -3.8975 1.5256
Tm O La
2 5 2
Direct
0.0000 0.0000 0.0000
0.5000 0.0000 0.0000
0.7040 0.0000 0.5000
0.7040 0.5000 0.0000
0.5000 0.5000 0.5000
0.2960 0.5000 0.0000
0.2960 0.0000 0.5000
0.2244 0.5000 0.5000
0.7756 0.5000 0.5000
```

Calculated values
As for the symmetry: P4/mmm.


Q: Which of them is the least stable? A: B.


A.
Computed, not measured: crystalline La2Zn2O5 at its relaxed geometry at the PBE-GGA level of DFT.

Structure (POSCAR):
```
La2Zn2O5
1.0
7.3273 0.0000 0.0000
0.0000 3.9870 0.0000
0.0000 0.0000 3.9870
O Zn La
5 2 2
Direct
0.7882 0.0000 0.5000
0.2118 0.5000 0.0000
0.5000 0.5000 0.5000
0.2118 0.0000 0.5000
0.7882 0.5000 0.0000
0.7643 0.5000 0.5000
0.2356 0.5000 0.5000
0.0000 0.0000 0.0000
0.5000 0.0000 0.0000
```

Calculated values
As for the symmetry: P4/mmm.


B.
Computed, not measured: crystalline La2Zn2O5 at its relaxed geometry at the PBE-GGA level of DFT.

Structure (POSCAR):
```
La2Zn2O5
1.0
-5.5516 -6.9509 -1.4544
3.1079 -2.6046 0.5843
-0.8708 -0.1416 4.0007
O Zn La
5 2 2
Direct
0.1300 0.5000 0.0000
0.8700 0.0000 0.5000
0.5000 0.5000 0.5000
0.8700 0.5000 0.0000
0.1300 0.0000 0.5000
0.5000 0.0000 0.0000
0.0000 0.0000 0.0000
0.2404 0.5000 0.5000
0.7596 0.5000 0.5000
```

Calculated values
As for the symmetry: P4/mmm.


Q: Which of them is the least stable? A: B.